Cs2NaYCl6: relaxed, GGA-PBEsol.

Lattice parameters (Å, degrees): 10.652 10.652 10.652 90.00 90.00 90.00
Space group Fm-3m (No. 225)
One atom of each set of equivalent atoms:
Cs (0.250, 0.250, 0.250) [8 per cell]
Na (0.000, 0.000, 0.000) [4 per cell]
Y (0.000, 0.000, 0.500) [4 per cell]
Cl (0.000, 0.000, 0.256) [24 per cell]

Properties
DFT total energy, eV per atom: -4.3566

=====

NaBOF2: relaxed, GGA-PBEsol.

Lattice parameters (Å, degrees): 11.859 6.903 9.311 90.00 113.73 90.00
Space group C2/c (No. 15)
One atom of each set of equivalent atoms:
Na (0.092, 0.224, 0.498) [8 per cell]
Na (0.250, 0.250, 0.000) [4 per cell]
B (0.000, 0.210, 0.750) [4 per cell]
B (0.105, 0.475, 0.246) [8 per cell]
O (0.000, 0.377, 0.250) [4 per cell]
O (0.101, 0.318, 0.745) [8 per cell]
F (0.046, 0.080, 0.886) [8 per cell]
F (0.126, 0.408, 0.111) [8 per cell]
F (0.214, 0.413, 0.383) [8 per cell]

Properties
DFT total energy, eV per atom: -6.2734

=====

CrCdPb: relaxed, GGA-PBEsol.

Lattice parameters (Å, degrees): 4.7401 4.7401 3.3355 90.00 90.00 120.00
Space group P3m1 (No. 156)
One atom of each set of equivalent atoms:
Cr (0.0000, 0.0000, 0.0000) [1 per cell]
Cd (0.3333, 0.6667, 0.7111) [1 per cell]
Pb (0.6667, 0.3333, 0.3454) [1 per cell]

Properties
Energy relative to the elements, eV/atom: 0.5891

=====

Ni3AgI: relaxed, GGA-PBEsol.

Lattice parameters (Å, degrees): 4.534 4.534 4.534 90.00 90.00 90.00
Space group Pm-3m (No. 221)
One atom of each set of equivalent atoms:
Ni (0.000, 0.000, 0.500) [3 per cell]
Ag (0.500, 0.500, 0.500) [1 per cell]
I (0.000, 0.000, 0.000) [1 per cell]

Properties
DFT total energy, eV per atom: -3.6787